This record from Alexandria describes an optimized crystal structure of CdRuCl2. The functional is PBE-GGA.

## Properties
For the final energy, the calculation gives -0.25189 Ry/atom. Its volume is 21.4 Å³/atom. The relative energy among the computed polymorphs comes out at 239 meV per atom. The symmetry is P4mm, No. 99. Its formation energy from raw total energies is 4.2 kJ/mol of atoms.

a = 3.1799 Å, b = 3.1799 Å, c = 8.4557 Å
α = 90.00°, β = 90.00°, γ = 90.00°
Fractional coordinates of all 4 atoms:
Ru 0.0000 0.0000 0.5012
Cl 0.0000 0.0000 0.9306
Cl 0.5000 0.5000 0.3324
Cd 0.5000 0.5000 0.7358